# 1
Dy7Ho2Pu, optimized geometry, DFT PBE; space-group type = Cmmm, No. 65; ρ = 8.49 g/cm³; V = 33.49 A^3/atom; total DFT energy (no corrections) = -50.974 eV per cell; ΔH_f (0 K) = 45.6 kJ per mole of atoms
1.0
3.427 0.000 0.000
0.000 9.801 -2.615
0.000 -0.584 10.127
Dy Ho Pu
7 2 1
Cartesian
0.000 6.417 1.537
0.000 2.799 5.976
1.713 1.037 3.598
1.713 8.180 3.914
1.713 3.733 0.290
1.713 5.484 7.223
1.713 4.608 3.756
1.713 8.093 -0.520
1.713 1.123 8.032
0.000 0.000 0.000



# 2
Dy3Ho6Pu, optimized geometry, DFT PBE; space-group type = C2, No. 5; ρ = 9.31 g/cm³; V = 30.69 A^3/atom; total DFT energy (no corrections) = -53.870 eV per cell; ΔH_f (0 K) = 16.7 kJ per mole of atoms
1.0
1.136 -0.592 9.440
2.507 -8.617 4.496
4.874 -2.256 4.172
Dy Ho Pu
3 6 1
Cartesian
5.514 -6.035 9.195
2.545 -5.422 9.698
3.092 -2.599 3.594
4.054 -6.603 12.564
4.270 -8.292 7.338
2.281 -2.893 7.596
4.603 -4.759 6.067
5.068 -2.635 9.886
6.330 -8.833 10.660
4.827 -9.256 13.944